# 1
The following is a PBE calculation of a relaxed structure of AlCoNiMo, from OQMD.

total DFT energy (no corrections) = -27.42 eV for the cell shown
energy above the most stable polymorph in this dataset = 0.57 eV per formula unit
size of the total moment = 0.0 μB/cell
V = 50 Å³/cell

Cell lengths 4.146, 4.146, 4.146 Å; angles 60.00, 60.00, 60.00 degrees
Element x y z (fractional)
Al1 0.000 0.000 0.000
Mo1 0.250 0.250 0.250
Ni1 0.500 0.500 0.500
Co1 0.750 0.750 0.750

# 2
The following is a PBE calculation of a relaxed structure of AlCoMoPd, from OQMD.

total DFT energy (no corrections) = -27.21 eV for the cell shown
energy above the most stable polymorph in this dataset = 0.00 eV per formula unit
size of the total moment = 0.6 μB/cell
V = 57 Å³/cell

Cell lengths 4.310, 4.310, 4.310 Å; angles 60.00, 60.00, 60.00 degrees
Element x y z (fractional)
Pd1 0.250 0.250 0.250
Al1 0.000 0.000 0.000
Mo1 0.500 0.500 0.500
Co1 0.750 0.750 0.750

# 3
The following is a PBE calculation of a relaxed structure of ScAlCoMo, from OQMD.

total DFT energy (no corrections) = -28.07 eV for the cell shown
energy above the most stable polymorph in this dataset = 0.00 eV per formula unit
size of the total moment = 2.3 μB/cell
V = 61 Å³/cell

Cell lengths 4.427, 4.427, 4.427 Å; angles 60.00, 60.00, 60.00 degrees
Element x y z (fractional)
Al1 0.000 0.000 0.000
Mo1 0.250 0.250 0.250
Sc1 0.500 0.500 0.500
Co1 0.750 0.750 0.750

# 4
The following is a PBE calculation of a relaxed structure of AlCoTcMo, from OQMD.

total DFT energy (no corrections) = -32.91 eV for the cell shown
energy above the most stable polymorph in this dataset = 0.00 eV per formula unit
size of the total moment = 0.9 μB/cell
V = 55 Å³/cell

Cell lengths 4.268, 4.268, 4.268 Å; angles 60.00, 60.00, 60.00 degrees
Element x y z (fractional)
Al1 0.000 0.000 0.000
Co1 0.750 0.750 0.750
Mo1 0.500 0.500 0.500
Tc1 0.250 0.250 0.250

# 5
The following is a PBE calculation of a relaxed structure of YAlCoMo, from OQMD.

total DFT energy (no corrections) = -27.36 eV for the cell shown
energy above the most stable polymorph in this dataset = 0.00 eV per formula unit
size of the total moment = 2.7 μB/cell
V = 68 Å³/cell

Cell lengths 4.579, 4.579, 4.579 Å; angles 60.00, 60.00, 60.00 degrees
Element x y z (fractional)
Y1 0.500 0.500 0.500
Mo1 0.250 0.250 0.250
Co1 0.750 0.750 0.750
Al1 0.000 0.000 0.000

# 6
The following is a PBE calculation of a relaxed structure of YAlCoMo, from OQMD.

total DFT energy (no corrections) = -26.71 eV for the cell shown
energy above the most stable polymorph in this dataset = 0.65 eV per formula unit
size of the total moment = 3.0 μB/cell
V = 70 Å³/cell

Cell lengths 4.626, 4.626, 4.626 Å; angles 60.00, 60.00, 60.00 degrees
Element x y z (fractional)
Al1 0.000 0.000 0.000
Mo1 0.500 0.500 0.500
Co1 0.750 0.750 0.750
Y1 0.250 0.250 0.250

# 7
The following is a PBE calculation of a relaxed structure of AlZnCoMo, from OQMD.

total DFT energy (no corrections) = -22.87 eV for the cell shown
energy above the most stable polymorph in this dataset = 0.00 eV per formula unit
size of the total moment = 2.0 μB/cell
V = 55 Å³/cell

Cell lengths 4.258, 4.258, 4.258 Å; angles 60.00, 60.00, 60.00 degrees
Element x y z (fractional)
Zn1 0.250 0.250 0.250
Al1 0.000 0.000 0.000
Mo1 0.500 0.500 0.500
Co1 0.750 0.750 0.750

# 8
The following is a PBE calculation of a relaxed structure of AlZnCoMo, from OQMD.

total DFT energy (no corrections) = -22.65 eV for the cell shown
energy above the most stable polymorph in this dataset = 0.23 eV per formula unit
size of the total moment = 2.4 μB/cell
V = 55 Å³/cell

Cell lengths 4.266, 4.266, 4.266 Å; angles 60.00, 60.00, 60.00 degrees
Element x y z (fractional)
Mo1 0.250 0.250 0.250
Co1 0.750 0.750 0.750
Al1 0.000 0.000 0.000
Zn1 0.500 0.500 0.500

# 9
The following is a PBE calculation of a relaxed structure of Nb4AlCoN2, from OQMD.

total DFT energy (no corrections) = -72.17 eV for the cell shown
size of the total moment = 0.4 μB/cell
V = 110 Å³/cell

Cell lengths 3.100, 3.100, 13.279 Å; angles 90.00, 90.00, 120.00 degrees
Element x y z (fractional)
N1 0.333 0.667 0.738
N2 0.333 0.667 0.262
Nb1 0.000 0.000 0.355
Nb2 0.000 0.000 0.645
Co1 0.667 0.333 0.500
Nb3 0.667 0.333 0.168
Al1 0.000 0.000 0.000
Nb4 0.667 0.333 0.832